Record 1
## Pu3Zn9Au2 (PBE-GGA)

Data for a geometry-optimized Pu3Zn9Au2 structure.

```
14
Lattice="-2.219 4.516 6.565 2.219 -4.516 6.565 2.219 4.516 -6.565" Properties=species:S:1:pos:R:3 pbc="T T T"
Pu 0.000 0.000 0.000
Pu 0.000 0.000 3.880
Pu 0.000 0.000 9.249
Zn 2.219 -1.266 2.186
Zn 2.219 -1.935 4.780
Zn 2.219 1.266 2.186
Zn 0.000 2.581 1.784
Zn 0.000 4.516 0.000
Zn 2.219 1.935 4.780
Zn 0.000 3.250 4.379
Zn 0.000 6.451 1.784
Zn 0.000 5.782 4.379
Au 2.219 2.751 0.000
Au 0.000 1.765 6.565
```

Calculated values
formation enthalpy at 0 K = -0.2099 eV per atom
calculated density = 10822 kg/m³
DOS(E_F) = 35.73 states/eV per cell
total magnetization = 1.2329 μB/atom

Record 2
## La3Ga8Pt3 (PBE-GGA)

Data for a geometry-optimized La3Ga8Pt3 structure.

```
14
Lattice="-2.191 5.029 6.326 2.191 -5.029 6.326 2.191 5.029 -6.326" Properties=species:S:1:pos:R:3 pbc="T T T"
La 0.000 0.000 0.000
La 0.000 0.000 4.059
La 0.000 0.000 8.592
Ga 2.191 -1.327 2.139
Ga 2.191 -2.221 4.723
Ga 2.191 1.327 2.139
Ga 0.000 2.807 1.603
Ga 2.191 2.221 4.723
Ga 0.000 3.702 4.186
Ga 0.000 7.250 1.603
Ga 0.000 6.356 4.186
Pt 2.191 2.796 0.000
Pt 0.000 5.029 0.000
Pt 0.000 2.233 6.326
```

Calculated values
formation enthalpy at 0 K = -0.7805 eV per atom
calculated density = 9290 kg/m³
DOS(E_F) = 4.75 states/eV per cell
total magnetization = 0.0000 μB/atom

Record 3
## Na2PW (PBE-GGA)

Data for a geometry-optimized Na2PW structure.

```
8
Lattice="-5.662 5.662 2.332 5.662 -5.662 2.332 5.662 5.662 -2.332" Properties=species:S:1:pos:R:3 pbc="T T T"
Na 0.102 2.831 0.583
Na -2.831 5.560 1.749
Na -0.102 8.493 0.583
Na 2.831 5.764 1.749
P 0.000 0.000 0.000
P 0.000 5.662 1.166
W 5.662 0.000 1.166
W 0.000 0.000 2.332
```

Calculated values
formation enthalpy at 0 K = 0.7264 eV per atom
calculated density = 2896 kg/m³
DOS(E_F) = 2.33 states/eV per cell
total magnetization = 0.7500 μB/atom